First-principles (GGA-PBEsol) data for a relaxed structure of Li5BO4, as listed in Alexandria via LeMat-Bulk.

Cell: 8.483 8.554 8.826 Å, 90.00 90.00 90.00°
Atoms (fractional coordinates):
1 Li 0.073 0.088 0.098
2 Li 0.073 0.412 0.598
3 Li 0.097 0.684 0.869
4 Li 0.097 0.816 0.369
5 Li 0.133 0.080 0.347
6 Li 0.133 0.420 0.847
7 Li 0.137 0.641 0.140
8 Li 0.137 0.859 0.640
9 Li 0.185 0.127 0.588
10 Li 0.185 0.373 0.088
11 Li 0.315 0.627 0.588
12 Li 0.315 0.873 0.088
13 Li 0.363 0.141 0.140
14 Li 0.363 0.359 0.640
15 Li 0.367 0.580 0.347
16 Li 0.367 0.920 0.847
17 Li 0.403 0.184 0.869
18 Li 0.403 0.316 0.369
19 Li 0.427 0.588 0.098
20 Li 0.427 0.912 0.598
21 Li 0.573 0.088 0.402
22 Li 0.573 0.412 0.902
23 Li 0.597 0.684 0.631
24 Li 0.597 0.816 0.131
25 Li 0.633 0.080 0.153
26 Li 0.633 0.420 0.653
27 Li 0.637 0.641 0.360
28 Li 0.637 0.859 0.860
29 Li 0.685 0.127 0.912
30 Li 0.685 0.373 0.412
31 Li 0.815 0.627 0.912
32 Li 0.815 0.873 0.412
33 Li 0.863 0.141 0.360
34 Li 0.863 0.359 0.860
35 Li 0.867 0.580 0.153
36 Li 0.867 0.920 0.653
37 Li 0.903 0.184 0.631
38 Li 0.903 0.316 0.131
39 Li 0.927 0.588 0.402
40 Li 0.927 0.912 0.902
41 B 0.130 0.145 0.855
42 B 0.130 0.355 0.355
43 B 0.370 0.645 0.855
44 B 0.370 0.855 0.355
45 B 0.630 0.145 0.645
46 B 0.630 0.355 0.145
47 B 0.870 0.645 0.645
48 B 0.870 0.855 0.145
49 O 0.029 0.247 0.957
50 O 0.029 0.253 0.457
51 O 0.037 0.036 0.754
52 O 0.037 0.464 0.254
53 O 0.223 0.250 0.256
54 O 0.223 0.250 0.756
55 O 0.240 0.054 0.962
56 O 0.240 0.446 0.462
57 O 0.260 0.554 0.962
58 O 0.260 0.946 0.462
59 O 0.277 0.750 0.256
60 O 0.277 0.750 0.756
61 O 0.463 0.536 0.754
62 O 0.463 0.964 0.254
63 O 0.471 0.747 0.957
64 O 0.471 0.753 0.457
65 O 0.529 0.247 0.543
66 O 0.529 0.253 0.043
67 O 0.537 0.036 0.746
68 O 0.537 0.464 0.246
69 O 0.723 0.250 0.244
70 O 0.723 0.250 0.744
71 O 0.740 0.054 0.538
72 O 0.740 0.446 0.038
73 O 0.760 0.554 0.538
74 O 0.760 0.946 0.038
75 O 0.777 0.750 0.244
76 O 0.777 0.750 0.744
77 O 0.963 0.536 0.746
78 O 0.963 0.964 0.246
79 O 0.971 0.747 0.543
80 O 0.971 0.753 0.043

Properties
Total magnetic moment ... 0.00 μB per formula unit
Symmetry ... Pbca
Theoretical density ... 2.3 g/cm3
Energy above the most stable polymorph in this dataset ... 38 meV/atom



First-principles (GGA-PBEsol) data for a relaxed structure of Li6B4O9, as listed in Alexandria via LeMat-Bulk.

Cell: 3.297 23.337 9.569 Å, 90.00 106.94 90.00°
Atoms (fractional coordinates):
1 Li 0.127 0.057 0.458
2 Li 0.127 0.443 0.958
3 Li 0.132 0.707 0.306
4 Li 0.132 0.793 0.806
5 Li 0.248 0.542 0.490
6 Li 0.248 0.958 0.990
7 Li 0.302 0.203 0.646
8 Li 0.302 0.297 0.146
9 Li 0.355 0.643 0.025
10 Li 0.355 0.857 0.525
11 Li 0.364 0.122 0.182
12 Li 0.364 0.378 0.682
13 Li 0.636 0.622 0.318
14 Li 0.636 0.878 0.818
15 Li 0.645 0.143 0.475
16 Li 0.645 0.357 0.975
17 Li 0.698 0.703 0.854
18 Li 0.698 0.797 0.354
19 Li 0.752 0.042 0.010
20 Li 0.752 0.458 0.510
21 Li 0.868 0.207 0.194
22 Li 0.868 0.293 0.694
23 Li 0.873 0.557 0.042
24 Li 0.873 0.943 0.542
25 B 0.365 0.086 0.701
26 B 0.365 0.414 0.201
27 B 0.379 0.648 0.566
28 B 0.379 0.852 0.066
29 B 0.426 0.742 0.086
30 B 0.426 0.758 0.586
31 B 0.496 0.524 0.238
32 B 0.496 0.976 0.738
33 B 0.504 0.024 0.262
34 B 0.504 0.476 0.762
35 B 0.574 0.242 0.414
36 B 0.574 0.258 0.914
37 B 0.621 0.148 0.934
38 B 0.621 0.352 0.434
39 B 0.635 0.586 0.799
40 B 0.635 0.914 0.299
41 O 0.219 0.641 0.422
42 O 0.219 0.859 0.922
43 O 0.240 0.124 0.592
44 O 0.240 0.376 0.092
45 O 0.271 0.731 0.942
46 O 0.271 0.769 0.442
47 O 0.312 0.027 0.662
48 O 0.312 0.473 0.162
49 O 0.337 0.026 0.116
50 O 0.337 0.474 0.616
51 O 0.451 0.598 0.652
52 O 0.451 0.902 0.152
53 O 0.463 0.201 0.308
54 O 0.463 0.299 0.808
55 O 0.465 0.570 0.147
56 O 0.465 0.930 0.647
57 O 0.485 0.700 0.641
58 O 0.485 0.800 0.141
59 O 0.515 0.200 0.859
60 O 0.515 0.300 0.359
61 O 0.535 0.070 0.353
62 O 0.535 0.430 0.853
63 O 0.537 0.701 0.192
64 O 0.537 0.799 0.692
65 O 0.549 0.098 0.848
66 O 0.549 0.402 0.348
67 O 0.663 0.526 0.384
68 O 0.663 0.974 0.884
69 O 0.688 0.527 0.838
70 O 0.688 0.973 0.338
71 O 0.729 0.231 0.558
72 O 0.729 0.269 0.058
73 O 0.760 0.624 0.908
74 O 0.760 0.876 0.408
75 O 0.781 0.141 0.078
76 O 0.781 0.359 0.578

Properties
Total magnetic moment ... 0.00 μB per formula unit
Symmetry ... P2_1/c
Theoretical density ... 2.2 g/cm3
Energy above the most stable polymorph in this dataset ... 0 meV/atom



| no. | E_form (uncorrected) (eV/atom) |
| --- | --- |
| 1 | -2.078 |
| 2 | -2.351 |